[1]
Computed, not measured: Sm2Er3Zn2 after structural relaxation at the PBE level of DFT.

Unit cell a=3.598 b=30.202 c=3.525 alpha=90.00 beta=90.00 gamma=90.00
Fractional coordinates of all 14 atoms:
Sm (0.000, 0.199, 0.000)
Sm (0.000, 0.801, 0.000)
Sm (0.500, 0.301, 0.000)
Sm (0.500, 0.699, 0.000)
Er (0.000, 0.082, 0.000)
Er (0.000, 0.500, 0.500)
Er (0.000, 0.918, 0.000)
Er (0.500, 0.000, 0.500)
Er (0.500, 0.418, 0.000)
Er (0.500, 0.582, 0.000)
Zn (0.000, 0.362, 0.500)
Zn (0.000, 0.638, 0.500)
Zn (0.500, 0.138, 0.500)
Zn (0.500, 0.862, 0.500)

- space group = Cmmm (65)
- electronic total energy (eV for the cell shown) = -53.2
- relative energy among the computed polymorphs (meV/atom) = 0
- formation energy from the elements (eV per atom) = -0.129

***

[2]
Computed, not measured: AgSn2Cl after structural relaxation at the PBE level of DFT.

Unit cell a=6.227 b=6.227 c=13.913 alpha=90.00 beta=90.00 gamma=90.00
Fractional coordinates of all 16 atoms:
Ag (0.000, 0.000, 0.000)
Ag (0.000, 0.500, 0.250)
Ag (0.500, 0.000, 0.750)
Ag (0.500, 0.500, 0.500)
Sn (0.211, 0.250, 0.125)
Sn (0.250, 0.711, 0.375)
Sn (0.250, 0.789, 0.875)
Sn (0.289, 0.250, 0.625)
Sn (0.711, 0.750, 0.625)
Sn (0.750, 0.211, 0.875)
Sn (0.750, 0.289, 0.375)
Sn (0.789, 0.750, 0.125)
Cl (0.000, 0.000, 0.500)
Cl (0.000, 0.500, 0.750)
Cl (0.500, 0.000, 0.250)
Cl (0.500, 0.500, 0.000)

- space group = I-42d (122)
- electronic total energy (eV for the cell shown) = -49.4
- relative energy among the computed polymorphs (meV/atom) = 83
- E_form (uncorrected) (eV/atom) = 0.09

***

[3]
Computed, not measured: Ce4Zn2In after structural relaxation at the PBE level of DFT.

Unit cell a=8.544 b=7.033 c=5.843 alpha=82.58 beta=54.71 gamma=42.70
Fractional coordinates of all 7 atoms:
Ce (0.054, 0.710, 0.290)
Ce (0.290, 0.946, 0.054)
Ce (0.710, 0.054, 0.946)
Ce (0.946, 0.290, 0.710)
Zn (0.298, 0.298, 0.702)
Zn (0.702, 0.702, 0.298)
In (0.500, 0.500, 0.500)

- space group = Fmmm (69)
- electronic total energy (eV for the cell shown) = -30.3
- relative energy among the computed polymorphs (meV/atom) = 0
- formation energy from the elements (eV per atom) = -0.177

***

[4]
Computed, not measured: Mg2Cd3Bi4 after structural relaxation at the PBE level of DFT.

Unit cell a=5.228 b=6.618 c=8.456 alpha=79.30 beta=72.09 gamma=66.94
Fractional coordinates of all 9 atoms:
Mg (0.175, 0.494, 0.158)
Mg (0.825, 0.506, 0.842)
Cd (0.173, 0.154, 0.499)
Cd (0.500, 0.000, 0.000)
Cd (0.827, 0.846, 0.501)
Bi (0.172, 0.805, 0.847)
Bi (0.497, 0.667, 0.341)
Bi (0.503, 0.333, 0.659)
Bi (0.828, 0.195, 0.153)

- space group = P-1 (2)
- electronic total energy (eV for the cell shown) = -21.3
- formation energy from the elements (eV per atom) = 0.013

***

[5]
Computed, not measured: ScReNi after structural relaxation at the PBE level of DFT.

Unit cell a=6.050 b=6.050 c=6.050 alpha=90.00 beta=90.00 gamma=90.00
Fractional coordinates of all 12 atoms:
Sc (0.000, 0.000, 0.000)
Sc (0.000, 0.500, 0.500)
Sc (0.500, 0.000, 0.500)
Sc (0.500, 0.500, 0.000)
Re (0.250, 0.250, 0.250)
Re (0.250, 0.750, 0.750)
Re (0.750, 0.250, 0.750)
Re (0.750, 0.750, 0.250)
Ni (0.250, 0.250, 0.750)
Ni (0.250, 0.750, 0.250)
Ni (0.750, 0.250, 0.250)
Ni (0.750, 0.750, 0.750)

- space group = F-43m (216)
- electronic total energy (eV for the cell shown) = -84.1
- relative energy among the computed polymorphs (meV/atom) = 1234
- formation energy from the elements (eV per atom) = 1.179

***

[6]
Computed, not measured: K12LiHg6 after structural relaxation at the PBE level of DFT.

Unit cell a=10.615 b=10.615 c=10.615 alpha=109.47 beta=109.47 gamma=109.47
Fractional coordinates of all 19 atoms:
K (0.109, 0.293, 0.816)
K (0.184, 0.477, 0.293)
K (0.184, 0.891, 0.707)
K (0.293, 0.184, 0.477)
K (0.293, 0.816, 0.109)
K (0.477, 0.293, 0.184)
K (0.523, 0.707, 0.816)
K (0.707, 0.184, 0.891)
K (0.707, 0.816, 0.523)
K (0.816, 0.109, 0.293)
K (0.816, 0.523, 0.707)
K (0.891, 0.707, 0.184)
Li (0.000, 0.000, 0.000)
Hg (0.122, 0.500, 0.622)
Hg (0.378, 0.878, 0.500)
Hg (0.500, 0.378, 0.878)
Hg (0.500, 0.622, 0.122)
Hg (0.622, 0.122, 0.500)
Hg (0.878, 0.500, 0.378)

- space group = Im-3 (204)
- electronic total energy (eV for the cell shown) = -19.3
- formation energy from the elements (eV per atom) = -0.128

***

[7]
Computed, not measured: HfZr2HPd after structural relaxation at the PBE level of DFT.

Unit cell a=4.329 b=4.329 c=4.469 alpha=90.00 beta=90.00 gamma=90.00
Fractional coordinates of all 5 atoms:
Hf (0.000, 0.000, 0.000)
Zr (0.000, 0.500, 0.500)
Zr (0.500, 0.000, 0.500)
H (0.000, 0.000, 0.500)
Pd (0.500, 0.500, 0.000)

- space group = P4/mmm (123)
- electronic total energy (eV for the cell shown) = -37.0
- relative energy among the computed polymorphs (meV/atom) = 0

***

[8]
Computed, not measured: K2Se after structural relaxation at the PBE level of DFT.

Unit cell a=7.732 b=7.732 c=7.732 alpha=90.00 beta=90.00 gamma=90.00
Fractional coordinates of all 12 atoms:
K (0.250, 0.250, 0.250)
K (0.250, 0.250, 0.750)
K (0.250, 0.750, 0.250)
K (0.250, 0.750, 0.750)
K (0.750, 0.250, 0.250)
K (0.750, 0.250, 0.750)
K (0.750, 0.750, 0.250)
K (0.750, 0.750, 0.750)
Se (0.000, 0.000, 0.000)
Se (0.000, 0.500, 0.500)
Se (0.500, 0.000, 0.500)
Se (0.500, 0.500, 0.000)

- space group = Fm-3m (225)
- electronic total energy (eV for the cell shown) = -36.0
- E_form (uncorrected) (eV/atom) = -1.11

***

[9]
Computed, not measured: Tb3ScCd after structural relaxation at the PBE level of DFT.

Unit cell a=10.962 b=10.962 c=8.088 alpha=107.20 beta=107.20 gamma=18.16
Fractional coordinates of all 10 atoms:
Tb (0.016, 0.016, 0.230)
Tb (0.177, 0.177, 0.447)
Tb (0.376, 0.376, 0.958)
Tb (0.624, 0.624, 0.042)
Tb (0.823, 0.823, 0.553)
Tb (0.984, 0.984, 0.770)
Sc (0.266, 0.266, 0.177)
Sc (0.734, 0.734, 0.823)
Cd (0.420, 0.420, 0.395)
Cd (0.580, 0.580, 0.605)

- space group = C2/m (12)
- electronic total energy (eV for the cell shown) = -42.5
- formation energy from the elements (eV per atom) = -0.018

***

[10]
Computed, not measured: CsK2Au2 after structural relaxation at the PBE level of DFT.

Unit cell a=8.263 b=8.263 c=10.082 alpha=90.00 beta=90.00 gamma=142.95
Fractional coordinates of all 10 atoms:
Cs (0.092, 0.908, 0.500)
Cs (0.908, 0.092, 0.000)
K (0.187, 0.813, 0.118)
K (0.384, 0.616, 0.361)
K (0.616, 0.384, 0.861)
K (0.813, 0.187, 0.618)
Au (0.259, 0.741, 0.803)
Au (0.433, 0.567, 0.699)
Au (0.567, 0.433, 0.199)
Au (0.741, 0.259, 0.303)

- space group = Cmc2_1 (36)
- electronic total energy (eV for the cell shown) = -21.8
- relative energy among the computed polymorphs (meV/atom) = 0
- formation energy from the elements (eV per atom) = -0.261